[1]
A plane-wave DFT calculation with GGA-PBE was carried out for an optimized crystal structure of Nd6NiIr2I3.

As for the density of states at the Fermi level: 12.0 states/eV per cell. The calculation puts the uncorrected formation energy at -0.87 eV/atom.

The structure belongs to space group C2/m (No. 12); the cell edges are 7.258, 12.570 and 8.479 Å and the angles 90.00°, 106.59° and 90.00°. Symmetry generates all atoms from Nd at (0.228, 0.166, 0.184), Nd at (0.229, 0.500, 0.184), Ni at (0.000, 0.000, 0.000), Ir at (0.000, 0.333, 0.000), I at (0.000, 0.167, 0.500) and I at (0.000, 0.500, 0.500).


[2]
A plane-wave DFT calculation with GGA-PBE was carried out for an optimized crystal structure of Nd8NiIr3I4.

As for the density of states at the Fermi level: 18.6 states/eV per cell. The calculation puts the uncorrected formation energy at -0.90 eV/atom.

The structure belongs to space group R-3m (No. 166, hexagonal axes); the cell edges are 8.4023, 8.4023 and 24.3623 Å and the angles 90.00°, 90.00° and 120.00°. Symmetry generates all atoms from Nd at (0.0000, 0.0000, 0.2285), Nd at (0.0015, 0.5008, 0.2277), Ni at (0.0000, 0.0000, 0.5000), Ir at (0.0000, 0.5000, 0.5000), I at (0.0000, 0.0000, 0.0000) and I at (0.0000, 0.5000, 0.0000).


[3]
A plane-wave DFT calculation with GGA-PBE was carried out for an optimized crystal structure of Nd4PIrI2.

As for the density of states at the Fermi level: 5.5 states/eV per cell. The calculation puts the uncorrected formation energy at -1.11 eV/atom.

The structure belongs to space group P2/m (No. 10); the cell edges are 7.623, 4.157 and 8.184 Å and the angles 90.00°, 106.67° and 90.00°. Symmetry generates all atoms from Nd at (0.216, 0.000, 0.185), Nd at (0.268, 0.500, 0.811), P at (0.500, 0.000, 0.000), Ir at (0.000, 0.500, 0.000), I at (0.000, 0.000, 0.500) and I at (0.500, 0.500, 0.500).


[4]
A plane-wave DFT calculation with GGA-PBE was carried out for an optimized crystal structure of Nd8Ir3PbI4.

As for the density of states at the Fermi level: 33.2 states/eV per cell. The calculation puts the uncorrected formation energy at -0.87 eV/atom.

The structure belongs to space group R-3m (No. 166, hexagonal axes); the cell edges are 8.6626, 8.6626 and 24.1673 Å and the angles 90.00°, 90.00° and 120.00°. Symmetry generates all atoms from Nd at (0.0000, 0.0000, 0.2289), Nd at (0.0270, 0.5135, 0.7699), Ir at (0.0000, 0.5000, 0.5000), Pb at (0.0000, 0.0000, 0.5000), I at (0.0000, 0.0000, 0.0000) and I at (0.0000, 0.5000, 0.0000).


[5]
A plane-wave DFT calculation with GGA-PBE was carried out for an optimized crystal structure of Nd4IrPdI2.

As for the density of states at the Fermi level: 4.9 states/eV per cell. The calculation puts the uncorrected formation energy at -0.93 eV/atom.

The structure belongs to space group P2/m (No. 10); the cell edges are 7.352, 4.249 and 8.495 Å and the angles 90.00°, 106.85° and 90.00°. Symmetry generates all atoms from Nd at (0.220, 0.000, 0.186), Nd at (0.261, 0.500, 0.813), Ir at (0.000, 0.500, 0.000), Pd at (0.500, 0.000, 0.000), I at (0.000, 0.000, 0.500) and I at (0.500, 0.500, 0.500).


[6]
A plane-wave DFT calculation with GGA-PBE was carried out for an optimized crystal structure of PrNdIrI.

As for the density of states at the Fermi level: 3.5 states/eV per cell. The calculation puts the uncorrected formation energy at -0.94 eV/atom.

The structure belongs to space group R3m (No. 160, hexagonal axes); the cell edges are 4.2324, 4.2324 and 24.5911 Å and the angles 90.00°, 90.00° and 120.00°. Symmetry generates all atoms from Pr at (0.0000, 0.0000, 0.0000), Nd at (0.0000, 0.0000, 0.7886), Ir at (0.0000, 0.0000, 0.3949) and I at (0.0000, 0.0000, 0.2255).